This record from the Alexandria database describes a geometry-optimized Li4MnCo2O7 structure. The functional is PBE+U.

## Properties
Total moment: 0.571 μB per atom
VASP energy: -5.833 eV/atom

Cell and atoms, written as CIF:
```
data_Li4MnCo2O7
_cell_length_a 5.114
_cell_length_b 7.665
_cell_length_c 7.678
_cell_angle_alpha 60.73
_cell_angle_beta 70.77
_cell_angle_gamma 83.04
_space_group_name_H-M_alt 'P 1'
_space_group_IT_number 1
_space_group_name_Hall 'P 1'
loop_
_atom_site_label
_atom_site_type_symbol
_atom_site_fract_x
_atom_site_fract_y
_atom_site_fract_z
Li1 Li 0.000 0.000 0.000
Li2 Li 0.001 0.724 0.428
Li3 Li 0.013 0.300 0.552
Li4 Li 0.502 0.369 0.211
Li5 Li 0.985 0.865 0.716
Li6 Li 0.990 0.435 0.861
Li7 Li 0.992 0.572 0.142
Li8 Li 0.998 0.169 0.272
Mn1 Mn 0.477 0.647 0.793
Mn2 Mn 0.502 0.507 0.495
Co1 Co 0.488 0.791 0.071
Co2 Co 0.492 0.081 0.634
Co3 Co 0.494 0.940 0.356
Co4 Co 0.510 0.219 0.944
O1 O 0.240 0.816 0.889
O2 O 0.260 0.411 0.016
O3 O 0.265 0.671 0.612
O4 O 0.272 0.103 0.463
O5 O 0.274 0.968 0.179
O6 O 0.281 0.557 0.319
O7 O 0.282 0.265 0.725
O8 O 0.695 0.029 0.829
O9 O 0.699 0.893 0.548
O10 O 0.706 0.628 0.953
O11 O 0.715 0.480 0.681
O12 O 0.719 0.753 0.273
O13 O 0.741 0.340 0.399
O14 O 0.749 0.183 0.091
```

***

This record from the Alexandria database describes a geometry-optimized Li7Mn4CoO12 structure. The functional is PBE+U.

## Properties
Total moment: 0.667 μB per atom
VASP energy: -6.192 eV/atom

Cell and atoms, written as CIF:
```
data_Li7Mn4CoO12
_cell_length_a 2.971
_cell_length_b 6.462
_cell_length_c 12.039
_cell_angle_alpha 102.78
_cell_angle_beta 93.61
_cell_angle_gamma 102.97
_space_group_name_H-M_alt 'P 1'
_space_group_IT_number 1
_space_group_name_Hall 'P 1'
loop_
_atom_site_label
_atom_site_type_symbol
_atom_site_fract_x
_atom_site_fract_y
_atom_site_fract_z
Li1 Li 0.000 0.000 0.000
Li2 Li 0.002 0.976 0.491
Li3 Li 0.280 0.623 0.831
Li4 Li 0.312 0.648 0.336
Li5 Li 0.588 0.307 0.677
Li6 Li 0.644 0.312 0.916
Li7 Li 0.696 0.309 0.155
Mn1 Mn 0.276 0.638 0.586
Mn2 Mn 0.347 0.638 0.076
Mn3 Mn 0.650 0.307 0.412
Mn4 Mn 0.944 0.985 0.757
Co1 Co 0.024 0.980 0.243
O1 O 0.101 0.283 0.787
O2 O 0.112 0.316 0.535
O3 O 0.183 0.297 0.291
O4 O 0.187 0.340 0.045
O5 O 0.408 0.961 0.641
O6 O 0.462 0.973 0.860
O7 O 0.475 0.983 0.365
O8 O 0.542 0.968 0.128
O9 O 0.749 0.653 0.707
O10 O 0.826 0.634 0.459
O11 O 0.829 0.652 0.973
O12 O 0.883 0.663 0.192
```

***

This record from the Alexandria database describes a geometry-optimized Li4MnCo2O7 structure. The functional is PBE+U.

## Properties
Total moment: 0.073 μB per atom
VASP energy: -5.849 eV/atom

Cell and atoms, written as CIF:
```
data_Li4MnCo2O7
_cell_length_a 4.958
_cell_length_b 5.044
_cell_length_c 10.436
_cell_angle_alpha 85.01
_cell_angle_beta 77.23
_cell_angle_gamma 71.72
_space_group_name_H-M_alt 'P 1'
_space_group_IT_number 1
_space_group_name_Hall 'P 1'
loop_
_atom_site_label
_atom_site_type_symbol
_atom_site_fract_x
_atom_site_fract_y
_atom_site_fract_z
Li1 Li 0.000 0.000 0.000
Li2 Li 0.069 0.498 0.863
Li3 Li 0.141 0.989 0.725
Li4 Li 0.284 0.989 0.448
Li5 Li 0.427 0.995 0.158
Li6 Li 0.574 0.996 0.858
Li7 Li 0.705 0.995 0.593
Li8 Li 0.857 0.992 0.307
Mn1 Mn 0.495 0.501 0.010
Mn2 Mn 0.931 0.490 0.157
Co1 Co 0.213 0.489 0.585
Co2 Co 0.360 0.487 0.301
Co3 Co 0.630 0.498 0.729
Co4 Co 0.787 0.489 0.447
O1 O 0.058 0.700 0.436
O2 O 0.114 0.260 0.293
O3 O 0.187 0.711 0.159
O4 O 0.234 0.277 0.026
O5 O 0.333 0.740 0.883
O6 O 0.395 0.272 0.720
O7 O 0.459 0.721 0.589
O8 O 0.524 0.276 0.444
O9 O 0.624 0.706 0.301
O10 O 0.672 0.273 0.159
O11 O 0.740 0.722 0.029
O12 O 0.775 0.274 0.878
O13 O 0.897 0.712 0.715
O14 O 0.971 0.259 0.574
```

***

This record from the Alexandria database describes a geometry-optimized Li4MnCo2O7 structure. The functional is PBE+U.

## Properties
Total moment: 0.643 μB per atom
VASP energy: -5.807 eV/atom
DOS(E_F): 8.95 states/eV per cell

Cell and atoms, written as CIF:
```
data_Li4MnCo2O7
_cell_length_a 29.706
_cell_length_b 2.885
_cell_length_c 5.896
_cell_angle_alpha 90.00
_cell_angle_beta 95.93
_cell_angle_gamma 90.00
_space_group_name_H-M_alt 'C 1 2/m 1'
_space_group_IT_number 12
_space_group_name_Hall '-C 2y'
loop_
_atom_site_label
_atom_site_type_symbol
_atom_site_fract_x
_atom_site_fract_y
_atom_site_fract_z
Li1 Li 0.000 0.000 0.000
Li2 Li 0.000 0.000 0.500
Li3 Li 0.067 0.500 0.289
Li4 Li 0.141 0.000 0.571
Li5 Li 0.214 0.500 0.851
Mn1 Mn 0.142 0.000 0.068
Co1 Co 0.064 0.500 0.769
Co2 Co 0.214 0.500 0.362
O1 O 0.003 0.500 0.757
O2 O 0.073 0.000 0.555
O3 O 0.077 0.000 0.015
O4 O 0.141 0.500 0.289
O5 O 0.144 0.500 0.849
O6 O 0.210 0.000 0.125
O7 O 0.214 0.000 0.592
```